KH2O | the Alexandria database | GGA-PBE | optimized geometry; ΔE to the lowest computed polymorph = 516.5 meV/atom; electronic total energy = -2.87 eV/atom
1.0
3.2018 0.0000 0.0000
1.6009 2.7729 0.0000
1.6009 0.9243 4.3212
H O K
2 1 1
direct
0.8154 0.8154 0.5538 H
0.1846 0.1846 0.4462 H
0.5000 0.5000 0.5000 O
0.0000 0.0000 0.0000 K